#A
First-principles (GGA-PBEsol) data for a relaxed structure of Mg2Zn2Se, as listed in the Alexandria database.

M_tot = 0.00 μB/cell
Crystal system = trigonal
V = 100.9 Å³ per cell
Fermi-level density of states = 1.0 states/eV/f.u.

abc: 3.856 3.856 7.836
angles: 90.00 90.00 120.00
Atoms (fractional coordinates):
Zn 0.333 0.667 0.066
Zn 0.667 0.333 0.934
Mg 0.333 0.667 0.700
Mg 0.667 0.333 0.300
Se 0.000 0.000 0.500

#B
First-principles (GGA-PBEsol) data for a relaxed structure of Mg2Zn2Se, as listed in the Alexandria database.

M_tot = 0.00 μB/cell
Crystal system = orthorhombic
V = 95.7 Å³ per cell
Fermi-level density of states = 1.4 states/eV/f.u.

abc: 3.520 3.520 8.108
angles: 102.21 102.21 91.47
Atoms (fractional coordinates):
Mg 0.401 0.401 0.802
Mg 0.599 0.599 0.198
Se 0.000 0.000 0.000
Zn 0.250 0.750 0.500
Zn 0.750 0.250 0.500

Of them, the most stable is #A and the least stable is #B.

#A
First-principles (GGA-PBEsol) data for a relaxed structure of Mg2SiTe, as listed in the Alexandria database.

M_tot = 0.00 μB/cell
Crystal system = orthorhombic
V = 86.3 Å³ per cell
Fermi-level density of states = 1.7 states/eV/f.u.

abc: 4.094 5.206 5.229
angles: 119.86 113.05 90.00
Atoms (fractional coordinates):
Te 0.500 0.000 0.000
Mg 0.729 0.729 0.459
Mg 0.271 0.271 0.541
Si 0.000 0.500 0.000

#B
First-principles (GGA-PBEsol) data for a relaxed structure of Mg2SiTe, as listed in the Alexandria database.

M_tot = 0.00 μB/cell
Crystal system = cubic
V = 86.2 Å³ per cell
Fermi-level density of states = 1.7 states/eV/f.u.

abc: 4.958 4.958 4.958
angles: 60.00 60.00 60.00
Atoms (fractional coordinates):
Te 0.250 0.250 0.250
Mg 0.750 0.750 0.750
Mg 0.000 0.000 0.000
Si 0.500 0.500 0.500

Of them, the most stable is #A and the least stable is #B.

#A
First-principles (GGA-PBEsol) data for a relaxed structure of Mg2SiTe, as listed in the Alexandria database.

M_tot = 0.00 μB/cell
Crystal system = orthorhombic
V = 91.4 Å³ per cell
Fermi-level density of states = 2.2 states/eV/f.u.

abc: 3.870 3.829 6.744
angles: 106.49 106.67 90.00
Atoms (fractional coordinates):
Mg 0.199 0.699 0.397
Mg 0.974 0.974 0.948
Si 0.536 0.536 0.072
Te 0.791 0.291 0.582

#B
First-principles (GGA-PBEsol) data for a relaxed structure of Mg2SiTe, as listed in the Alexandria database.

M_tot = 0.00 μB/cell
Crystal system = tetragonal
V = 85.0 Å³ per cell
Fermi-level density of states = 1.5 states/eV/f.u.

abc: 3.711 3.714 6.167
angles: 90.00 90.00 90.00
Atoms (fractional coordinates):
Te 0.500 0.500 0.500
Si 0.500 0.500 0.000
Mg 0.000 0.000 0.233
Mg 0.000 0.000 0.767

Of them, the most stable is #B and the least stable is #A.

#A
First-principles (GGA-PBEsol) data for a relaxed structure of Sm2Mg, as listed in the Alexandria database.

M_tot = 0.00 μB/cell
Crystal system = orthorhombic
V = 174.2 Å³ per cell
Fermi-level density of states = 3.3 states/eV/f.u.

abc: 3.720 5.488 8.732
angles: 90.00 102.30 90.00
Atoms (fractional coordinates):
Mg 0.432 0.250 0.863
Mg 0.568 0.750 0.137
Sm 0.771 0.250 0.543
Sm 0.090 0.250 0.179
Sm 0.910 0.750 0.821
Sm 0.229 0.750 0.457

#B
First-principles (GGA-PBEsol) data for a relaxed structure of Sm2Mg, as listed in the Alexandria database.

M_tot = 0.00 μB/cell
Crystal system = tetragonal
V = 86.9 Å³ per cell
Fermi-level density of states = 3.4 states/eV/f.u.

abc: 3.561 3.561 7.303
angles: 104.11 104.11 90.00
Atoms (fractional coordinates):
Sm 0.162 0.162 0.324
Sm 0.838 0.838 0.676
Mg 0.500 0.500 0.000

Of them, the most stable is #A and the least stable is #B.

#A
First-principles (GGA-PBEsol) data for a relaxed structure of Mg5Sn, as listed in the Alexandria database.

M_tot = 0.00 μB/cell
Crystal system = trigonal
V = 135.2 Å³ per cell
Fermi-level density of states = 3.0 states/eV/f.u.

abc: 5.482 5.482 6.084
angles: 63.22 63.22 60.00
Atoms (fractional coordinates):
Mg 0.833 0.833 0.502
Mg 0.666 0.000 0.000
Mg 0.000 0.334 0.000
Mg 0.167 0.167 0.498
Mg 0.334 0.666 0.000
Sn 0.500 0.500 0.500

#B
First-principles (GGA-PBEsol) data for a relaxed structure of Mg5Sn, as listed in the Alexandria database.

M_tot = 0.00 μB/cell
Crystal system = monoclinic
V = 136.3 Å³ per cell
Fermi-level density of states = 2.9 states/eV/f.u.

abc: 3.249 6.031 7.537
angles: 105.93 90.00 105.63
Atoms (fractional coordinates):
Mg 0.721 0.442 0.944
Mg 0.331 0.663 0.670
Mg 0.001 0.002 0.000
Mg 0.670 0.339 0.334
Mg 0.053 0.106 0.608
Sn 0.390 0.781 0.278

Of them, the most stable is #A and the least stable is #B.

#A
First-principles (GGA-PBEsol) data for a relaxed structure of SrMg5, as listed in the Alexandria database.

M_tot = 0.00 μB/cell
Crystal system = tetragonal
V = 157.5 Å³ per cell
Fermi-level density of states = 3.6 states/eV/f.u.

abc: 3.630 3.630 11.957
angles: 90.00 90.00 90.00
Atoms (fractional coordinates):
Mg 0.000 0.000 0.206
Mg 0.000 0.000 0.500
Mg 0.000 0.000 0.794
Mg 0.500 0.500 0.351
Mg 0.500 0.500 0.649
Sr 0.500 0.500 0.000

#B
First-principles (GGA-PBEsol) data for a relaxed structure of SrMg5, as listed in the Alexandria database.

M_tot = 0.00 μB/cell
Crystal system = cubic
V = 160.7 Å³ per cell
Fermi-level density of states = 3.0 states/eV/f.u.

abc: 6.102 6.102 6.102
angles: 60.00 60.00 60.00
Atoms (fractional coordinates):
Mg 0.750 0.750 0.750
Mg 0.375 0.874 0.375
Mg 0.375 0.375 0.874
Mg 0.375 0.375 0.375
Mg 0.874 0.375 0.375
Sr 0.000 0.000 0.000

Of them, the most stable is #B and the least stable is #A.

#A
First-principles (GGA-PBEsol) data for a relaxed structure of SrMg5, as listed in the Alexandria database.

M_tot = 0.00 μB/cell
Crystal system = hexagonal
V = 163.8 Å³ per cell
Fermi-level density of states = 3.8 states/eV/f.u.

abc: 5.019 6.139 6.139
angles: 120.00 90.00 90.00
Atoms (fractional coordinates):
Mg 0.500 0.667 0.333
Mg 0.000 0.000 0.500
Mg 0.500 0.333 0.667
Mg 0.000 0.500 0.500
Mg 0.000 0.500 0.000
Sr 0.500 0.000 0.000

#B
First-principles (GGA-PBEsol) data for a relaxed structure of SrMg5, as listed in the Alexandria database.

M_tot = 0.00 μB/cell
Crystal system = orthorhombic
V = 157.5 Å³ per cell
Fermi-level density of states = 2.7 states/eV/f.u.

abc: 5.289 5.237 6.269
angles: 90.00 114.95 90.00
Atoms (fractional coordinates):
Mg 0.684 0.500 0.368
Mg 0.000 0.500 0.000
Mg 0.177 0.000 0.353
Mg 0.823 0.000 0.647
Mg 0.316 0.500 0.632
Sr 0.500 0.000 0.000

Of them, the most stable is #A and the least stable is #B.

#A
First-principles (GGA-PBEsol) data for a relaxed structure of Sr4Mg, as listed in the Alexandria database.

M_tot = 0.00 μB/cell
Crystal system = tetragonal
V = 228.9 Å³ per cell
Fermi-level density of states = 6.6 states/eV/f.u.

abc: 4.243 7.645 7.645
angles: 85.58 73.89 73.89
Atoms (fractional coordinates):
Sr 0.423 0.807 0.346
Sr 0.231 0.346 0.193
Sr 0.577 0.193 0.654
Sr 0.769 0.654 0.807
Mg 0.000 0.000 0.000

#B
First-principles (GGA-PBEsol) data for a relaxed structure of Sr4Mg, as listed in the Alexandria database.

M_tot = 0.00 μB/cell
Crystal system = cubic
V = 258.6 Å³ per cell
Fermi-level density of states = 5.4 states/eV/f.u.

abc: 6.952 6.952 6.952
angles: 109.47 109.47 109.47
Atoms (fractional coordinates):
Sr 0.500 0.000 0.000
Sr 0.500 0.500 0.500
Sr 0.000 0.000 0.500
Sr 0.000 0.500 0.000
Mg 0.000 0.000 0.000

Of them, the most stable is #A and the least stable is #B.